i) # RbPtI

An optimized crystal structure of RbPtI (GGA-PBE, the Alexandria database).

```
data_RbPtI
_cell_length_a 11.2127
_cell_length_b 3.9948
_cell_length_c 9.8871
_cell_angle_alpha 90.00
_cell_angle_beta 90.00
_cell_angle_gamma 90.00
_space_group_name_H-M_alt 'P n m a'
_space_group_IT_number 62
loop_
_space_group_symop_operation_xyz
'x,y,z'
'-x,-y,-z'
'-x+1/2,-y,z+1/2'
'x+1/2,y,-z+1/2'
'x+1/2,-y+1/2,-z+1/2'
'-x+1/2,y+1/2,z+1/2'
'-x,y+1/2,-z'
'x,-y+1/2,z'
loop_
_atom_site_label
_atom_site_type_symbol
_atom_site_fract_x
_atom_site_fract_y
_atom_site_fract_z
Rb1 Rb 0.2337 0.2500 0.0016
Pt1 Pt 0.0143 0.2500 0.5872
I1 I 0.0340 0.7500 0.7725
```

Properties
DOS(E_F), states/eV/atom: 0.000
Total moment, μB per cell: 0.0

ii) # RbPtI

An optimized crystal structure of RbPtI (GGA-PBE, the Alexandria database).

```
data_RbPtI
_cell_length_a 4.8942
_cell_length_b 10.3559
_cell_length_c 9.2186
_cell_angle_alpha 90.00
_cell_angle_beta 90.00
_cell_angle_gamma 90.00
_space_group_name_H-M_alt 'A m m 2'
_space_group_IT_number 38
loop_
_space_group_symop_operation_xyz
'x,y,z'
'-x,-y,z'
'-x,y,z'
'x,-y,z'
'x,y+1/2,z+1/2'
'-x,-y+1/2,z+1/2'
'-x,y+1/2,z+1/2'
'x,-y+1/2,z+1/2'
loop_
_atom_site_label
_atom_site_type_symbol
_atom_site_fract_x
_atom_site_fract_y
_atom_site_fract_z
Rb1 Rb 0.0000 0.2356 0.0000
Pt1 Pt 0.0000 0.0000 0.2489
Pt2 Pt 0.5000 0.0000 0.1021
I1 I 0.5000 0.0000 0.3778
I2 I 0.5000 0.0000 0.8186
```

Properties
DOS(E_F), states/eV/atom: 0.000
Total moment, μB per cell: 0.0

Q: Which of them is the least stable? A: ii).

i) # RbPtI

An optimized crystal structure of RbPtI (GGA-PBE, the Alexandria database).

```
data_RbPtI
_cell_length_a 5.7531
_cell_length_b 5.7531
_cell_length_c 6.2312
_cell_angle_alpha 90.00
_cell_angle_beta 90.00
_cell_angle_gamma 90.00
_space_group_name_H-M_alt 'P 4/n m m'
_space_group_IT_number 129
loop_
_space_group_symop_operation_xyz
'x,y,z'
'-x,-y,-z'
'-y+1/2,x,z'
'y+1/2,-x,-z'
'-x+1/2,-y+1/2,z'
'x+1/2,y+1/2,-z'
'y,-x+1/2,z'
'-y,x+1/2,-z'
'x+1/2,-y,-z'
'-x+1/2,y,z'
'-y,-x,-z'
'y,x,z'
'-x,y+1/2,-z'
'x,-y+1/2,z'
'y+1/2,x+1/2,-z'
'-y+1/2,-x+1/2,z'
loop_
_atom_site_label
_atom_site_type_symbol
_atom_site_fract_x
_atom_site_fract_y
_atom_site_fract_z
Rb1 Rb 0.2500 0.2500 0.0040
Pt1 Pt 0.2500 0.2500 0.5032
I1 I 0.2500 0.7500 0.5000
```

Properties
DOS(E_F), states/eV/atom: 0.273
Total moment, μB per cell: 0.0

ii) # RbPtI

An optimized crystal structure of RbPtI (GGA-PBE, the Alexandria database).

```
data_RbPtI
_cell_length_a 3.9959
_cell_length_b 5.9688
_cell_length_c 18.8091
_cell_angle_alpha 90.00
_cell_angle_beta 90.00
_cell_angle_gamma 90.00
_space_group_name_H-M_alt 'I m m 2'
_space_group_IT_number 44
loop_
_space_group_symop_operation_xyz
'x,y,z'
'-x,-y,z'
'-x,y,z'
'x,-y,z'
'x+1/2,y+1/2,z+1/2'
'-x+1/2,-y+1/2,z+1/2'
'-x+1/2,y+1/2,z+1/2'
'x+1/2,-y+1/2,z+1/2'
loop_
_atom_site_label
_atom_site_type_symbol
_atom_site_fract_x
_atom_site_fract_y
_atom_site_fract_z
Rb1 Rb 0.0000 0.0000 0.0000
Rb2 Rb 0.0000 0.0000 0.2300
Pt1 Pt 0.0000 0.0000 0.7343
Pt2 Pt 0.0000 0.5000 0.1414
I1 I 0.0000 0.0000 0.5439
I2 I 0.0000 0.5000 0.3346
```

Properties
DOS(E_F), states/eV/atom: 0.000
Total moment, μB per cell: 0.0

iii) # RbPtI

An optimized crystal structure of RbPtI (GGA-PBE, the Alexandria database).

```
data_RbPtI
_cell_length_a 5.1893
_cell_length_b 5.3043
_cell_length_c 8.5854
_cell_angle_alpha 90.00
_cell_angle_beta 100.54
_cell_angle_gamma 90.00
_space_group_name_H-M_alt 'P 1 m 1'
_space_group_IT_number 6
loop_
_space_group_symop_operation_xyz
'x,y,z'
'x,-y,z'
loop_
_atom_site_label
_atom_site_type_symbol
_atom_site_fract_x
_atom_site_fract_y
_atom_site_fract_z
Rb1 Rb 0.0000 0.0000 0.0000
Rb2 Rb 0.3596 0.0000 0.4828
Pt1 Pt 0.1878 0.5000 0.2406
Pt2 Pt 0.7426 0.5000 0.3362
I1 I 0.5278 0.5000 0.0426
I2 I 0.9191 0.5000 0.6380
```

Properties
DOS(E_F), states/eV/atom: 0.000
Total moment, μB per cell: 0.0

iv) # RbPtI

An optimized crystal structure of RbPtI (GGA-PBE, the Alexandria database).

```
data_RbPtI
_cell_length_a 7.2570
_cell_length_b 7.2570
_cell_length_c 7.2570
_cell_angle_alpha 90.00
_cell_angle_beta 90.00
_cell_angle_gamma 90.00
_space_group_name_H-M_alt 'F -4 3 m'
_space_group_IT_number 216
_space_group_name_Hall 'F -4 2 3'
loop_
_atom_site_label
_atom_site_type_symbol
_atom_site_fract_x
_atom_site_fract_y
_atom_site_fract_z
Rb1 Rb 0.0000 0.0000 0.0000
Pt1 Pt 0.2500 0.2500 0.7500
I1 I 0.0000 0.0000 0.5000
```

Properties
DOS(E_F), states/eV/atom: 0.077
Total moment, μB per cell: 0.0

Q: Which of them is the least stable? A: iv).